# 1
Compound: Sr3AgSe
Source: Alexandria via LeMat-Bulk
Functional: meta-GGA SCAN
Structure: single point on PBEsol structure

The space group is Pm-3m (No. 221) and the conventional cell measures 5.851, 5.851 and 5.851 Å, with angles of 90.00, 90.00 and 90.00 degrees. The inequivalent atoms are Sr at (0.000, 0.000, 0.500), Ag at (0.000, 0.000, 0.000) and Se at (0.500, 0.500, 0.500).

The calculation puts the density of states at the Fermi level at 3.34 states/eV/cell. Its total energy is -24.030 eV per atom.

=====

# 2
Compound: Ta2AgSe
Source: Alexandria via LeMat-Bulk
Functional: meta-GGA SCAN
Structure: single point on PBEsol structure

The space group is P2/m (No. 10) and the conventional cell measures 2.950, 4.117 and 5.765 Å, with angles of 90.00, 104.07 and 90.00 degrees. The inequivalent atoms are Ta at (0.081, 0.000, 0.258), Ag at (0.500, 0.500, 0.000) and Se at (0.500, 0.500, 0.500).

The calculation puts the density of states at the Fermi level at 2.50 states/eV/cell. Its total energy is -45.876 eV per atom.

=====

# 3
Compound: Ta2AgSe
Source: Alexandria via LeMat-Bulk
Functional: meta-GGA SCAN
Structure: single point on PBEsol structure

The space group is Pmmm (No. 47) and the conventional cell measures 3.344, 4.478 and 4.624 Å, with angles of 90.00, 90.00 and 90.00 degrees. The inequivalent atoms are Ta at (0.000, 0.000, 0.000), Ta at (0.500, 0.000, 0.500), Ag at (0.000, 0.500, 0.500) and Se at (0.500, 0.500, 0.000).

The calculation puts the density of states at the Fermi level at 3.22 states/eV/cell. Its total energy is -45.749 eV per atom.

=====

# 4
Compound: Ta2AgSe
Source: Alexandria via LeMat-Bulk
Functional: meta-GGA SCAN
Structure: single point on PBEsol structure

The space group is R3m (No. 160, hexagonal axes) and the conventional cell measures 3.1569, 3.1569 and 26.3368 Å, with angles of 90.00, 90.00 and 120.00 degrees. The inequivalent atoms are Ta at (0.0000, 0.0000, 0.0000), Ta at (0.0000, 0.0000, 0.2520), Ag at (0.0000, 0.0000, 0.7502) and Se at (0.0000, 0.0000, 0.5161).

The calculation puts the density of states at the Fermi level at 11.11 states/eV/cell. Its total energy is -46.120 eV per atom.

=====

# 5
Compound: Ta2AgSe
Source: Alexandria via LeMat-Bulk
Functional: meta-GGA SCAN
Structure: single point on PBEsol structure

The space group is P4/mmm (No. 123) and the conventional cell measures 3.053, 3.053 and 7.119 Å, with angles of 90.00, 90.00 and 90.00 degrees. The inequivalent atoms are Ta at (0.000, 0.000, 0.228), Ag at (0.500, 0.500, 0.500) and Se at (0.500, 0.500, 0.000).

The calculation puts the density of states at the Fermi level at 2.82 states/eV/cell. Its total energy is -46.005 eV per atom.

=====

# 6
Compound: TbAgSe2
Source: Alexandria via LeMat-Bulk
Functional: meta-GGA SCAN
Structure: single point on PBEsol structure

The space group is I4_1md (No. 109) and the conventional cell measures 5.603, 5.603 and 12.167 Å, with angles of 90.00, 90.00 and 90.00 degrees. The inequivalent atoms are Tb at (0.000, 0.000, 0.000), Ag at (0.000, 0.000, 0.459), Se at (0.000, 0.000, 0.236) and Se at (0.000, 0.000, 0.766).

Its total energy is -30.899 eV per atom.